Entry 1:
{"formula": "Ac2ScAs4Ir3", "functional": "PBE", "state": "relaxed", "spacegroup": "P-4m2 (115)", "formation_enthalpy_0k_ev_per_atom": -0.895, "magmom_total_mub_per_fu": 0.00, "dos_at_fermi_per_ev_atom": 0.440, "dft_energy_ev_per_atom": -6.868, "lattice_angstrom": [[4.426, 0.000, 0.000], [0.000, 4.426, 0.000], [0.000, 0.000, 10.610]], "species": ["Ac", "Ac", "Sc", "As", "As", "As", "As", "Ir", "Ir", "Ir"], "fractional_positions": [[0.500, 0.000, 0.234], [0.000, 0.500, 0.766], [0.500, 0.500, 0.500], [0.500, 0.500, 0.000], [0.000, 0.000, 0.000], [0.500, 0.000, 0.645], [0.000, 0.500, 0.355], [0.000, 0.000, 0.500], [0.500, 0.000, 0.889], [0.000, 0.500, 0.111]]}

=====

Entry 2:
{"formula": "Ac2ScAs3Ir4", "functional": "PBE", "state": "relaxed", "spacegroup": "P-4m2 (115)", "formation_enthalpy_0k_ev_per_atom": -0.794, "magmom_total_mub_per_fu": 0.00, "dos_at_fermi_per_ev_atom": 0.520, "dft_energy_ev_per_atom": -7.188, "lattice_angstrom": [[-1.387, 2.772, 2.895], [-3.274, -2.551, 0.873], [6.107, -5.148, 7.855]], "species": ["Ac", "Ac", "Sc", "As", "As", "As", "Ir", "Ir", "Ir", "Ir"], "fractional_positions": [[0.500, 0.000, 0.241], [0.000, 0.500, 0.759], [0.500, 0.500, 0.500], [0.000, 0.000, 0.500], [0.500, 0.000, 0.871], [0.000, 0.500, 0.129], [0.500, 0.500, 0.000], [0.000, 0.000, 0.000], [0.500, 0.000, 0.646], [0.000, 0.500, 0.354]]}